Arrangement a

This record from Alexandria via LeMat-Bulk describes a crystal of La2MgHg relaxed with PBEsol. The functional is SCAN.

Unit cell a=3.6164 b=4.9175 c=6.6285 alpha=90.00 beta=105.86 gamma=90.00
Atoms (fractional coordinates):
La  0.7072  0.5000  0.2896
La  0.0404  0.0000  0.9556
Hg  0.4382  0.5000  0.7520
Mg  0.3142  0.0000  0.5028

Arrangement b

This record from Alexandria via LeMat-Bulk describes a crystal of La2MgHg relaxed with PBEsol. The functional is SCAN.

Unit cell a=5.4648 b=5.4648 c=5.4648 alpha=60.00 beta=60.00 gamma=60.00
Last column: magnetic moment on the atom in μB.
Atoms (fractional coordinates):
Mg  0.5000  0.5000  0.5000  0.00
La  0.7500  0.7500  0.7500  -0.15
La  0.2500  0.2500  0.2500  -0.15
Hg  0.0000  0.0000  0.0000  -0.01

Stability, lowest: arrangement a

Arrangement a

This record from Alexandria via LeMat-Bulk describes a crystal of KBa2Sr relaxed with PBEsol. The functional is SCAN.

Unit cell a=4.9270 b=4.9270 c=9.7681 alpha=90.00 beta=90.00 gamma=90.00
Atoms (fractional coordinates):
Sr  0.5000  0.5000  0.7615
Ba  0.0000  0.0000  0.9944
Ba  0.5000  0.5000  0.2380
K  0.0000  0.0000  0.5061

Arrangement b

This record from Alexandria via LeMat-Bulk describes a crystal of KBa2Sr relaxed with PBEsol. The functional is SCAN.

Unit cell a=4.6788 b=7.1316 c=7.1316 alpha=90.00 beta=90.00 gamma=90.00
Atoms (fractional coordinates):
Ba  0.0000  0.0000  0.5000
Ba  0.0000  0.5000  0.0000
K  0.5000  0.5000  0.5000
Sr  0.5000  0.0000  0.0000

Stability, lowest: arrangement b

Arrangement a

This record from Alexandria via LeMat-Bulk describes a crystal of Li5SbS relaxed with PBEsol. The functional is SCAN.

Unit cell a=4.7979 b=6.1199 c=8.5780 alpha=89.56 beta=73.76 gamma=88.44
Atoms (fractional coordinates):
Sb  0.6673  0.7500  0.6655
Sb  0.3327  0.2500  0.3345
Li  0.1967  0.5060  0.6190
Li  0.1843  0.9940  0.6190
Li  0.3609  0.7500  0.2781
Li  0.8033  0.4940  0.3810
Li  0.2571  0.9115  0.9268
Li  0.8161  0.5885  0.9268
Li  0.8157  0.0060  0.3810
Li  0.1839  0.4115  0.0732
Li  0.7429  0.0885  0.0732
Li  0.6391  0.2500  0.7219
S  0.9245  0.7500  0.1509
S  0.0755  0.2500  0.8491

Arrangement b

This record from Alexandria via LeMat-Bulk describes a crystal of Li5SbS relaxed with PBEsol. The functional is SCAN.

Unit cell a=7.8267 b=7.9022 c=8.4482 alpha=90.00 beta=91.63 gamma=90.00
Atoms (fractional coordinates):
Li  0.1559  0.4308  0.7313
Li  0.3399  0.9089  0.9803
Li  0.1555  0.0715  0.7314
Li  0.0056  0.7505  0.5380
Li  0.6601  0.0938  0.0198
Li  0.8445  0.5715  0.2686
Li  0.0032  0.7510  0.9753
Li  0.2694  0.0770  0.2863
Li  0.7306  0.5770  0.7137
Li  0.3871  0.7521  0.5572
Li  0.4835  0.2503  0.7364
Li  0.6601  0.4089  0.0197
Li  0.5165  0.7503  0.2636
Li  0.2678  0.4252  0.2863
Li  0.9968  0.2510  0.0247
Li  0.9944  0.2505  0.4620
Li  0.3399  0.5938  0.9802
Li  0.7322  0.9252  0.7137
Li  0.8441  0.9308  0.2687
Li  0.6129  0.2521  0.4428
Sb  0.3340  0.2514  0.0089
Sb  0.1724  0.7513  0.2628
Sb  0.8276  0.2513  0.7372
Sb  0.6660  0.7514  0.9911
S  0.8133  0.2513  0.2367
S  0.7007  0.7511  0.4850
S  0.2993  0.2511  0.5150
S  0.1867  0.7513  0.7633

Stability, lowest: arrangement b